Entry 1:
Density functional theory data (GGA-PBE) for a relaxed GaCoReAg crystal.

Calculated values
Space-group type: No. 216
E_tot in eV per formula unit: -23.09
Total magnetic moment in μB/atom: 0.485

abc: 4.349 4.349 4.349
angles: 60.00 60.00 60.00
Sites, in units of the cell vectors:
1 Ag 0.250 0.250 0.250
2 Co 0.750 0.750 0.750
3 Ga 0.000 0.000 0.000
4 Re 0.500 0.500 0.500

Entry 2:
Density functional theory data (GGA-PBE) for a relaxed Cs4CdSb2Cl12 crystal.

Calculated values
Space-group type: No. 166
E_tot in eV per formula unit: -62.16

abc: 13.132 13.132 13.132
angles: 33.81 33.81 33.81
Sites, in units of the cell vectors:
1 Cd 0.500 0.500 0.500
2 Cl 0.621 0.621 0.134
3 Cl 0.608 0.134 0.134
4 Cl 0.134 0.608 0.134
5 Cl 0.866 0.379 0.379
6 Cl 0.379 0.866 0.379
7 Cl 0.866 0.866 0.392
8 Cl 0.134 0.134 0.608
9 Cl 0.621 0.134 0.621
10 Cl 0.134 0.621 0.621
11 Cl 0.866 0.392 0.866
12 Cl 0.392 0.866 0.866
13 Cl 0.379 0.379 0.866
14 Cs 0.126 0.126 0.126
15 Cs 0.376 0.376 0.376
16 Cs 0.624 0.624 0.624
17 Cs 0.874 0.874 0.874
18 Sb 0.254 0.254 0.254
19 Sb 0.746 0.746 0.746